*a*
Compound: MnCd4O5
Source: the Alexandria database
Functional: SCAN
Structure: PBEsol geometry Values from VASP.

Quantum ESPRESSO input file:
```
&SYSTEM
  ibrav = 0, nat = 10, ntyp = 3
/
ATOMIC_SPECIES
O 16.00 O.upf
Cd 112.41 Cd.upf
Mn 54.94 Mn.upf
CELL_PARAMETERS angstrom
-1.8169 2.5844 -0.8698
-3.2638 -0.1298 0.2600
-0.8836 5.6165 12.3619
ATOMIC_POSITIONS angstrom
O -4.3374 6.8580 10.9213
O -4.8434 3.8601 3.0708
O -2.9821 4.0355 5.8760
O -1.1208 4.2110 8.6813
O -1.6269 1.2131 0.8308
Cd -2.7332 5.5103 9.7380
Cd -3.2311 2.5608 2.0141
Cd -1.3715 2.7262 4.7932
Cd -4.5928 5.3449 6.9588
Mn 0.0000 0.0000 0.0000
```

Properties
- magnetization (μB per cell) = 4.878
- crystal system = trigonal

*b*
Compound: MnCd4O5
Source: the Alexandria database
Functional: SCAN
Structure: PBEsol geometry Values from VASP.

Quantum ESPRESSO input file:
```
&SYSTEM
  ibrav = 0, nat = 20, ntyp = 3
/
ATOMIC_SPECIES
O 16.00 O.upf
Cd 112.41 Cd.upf
Mn 54.94 Mn.upf
CELL_PARAMETERS angstrom
3.2522 0.0000 0.0000
-1.6261 7.2253 -0.0153
0.0000 -2.3207 10.6917
ATOMIC_POSITIONS angstrom
O 1.6261 4.9902 0.4941
O 1.6261 5.7519 3.7245
O 0.0000 4.4806 8.8564
O 0.0000 -0.0856 10.1823
O 0.0000 2.9744 2.7354
O 1.6261 0.4240 1.8201
O 1.6261 1.0951 4.5834
O 0.0000 3.8095 6.0930
O 1.6261 1.9302 7.9410
O 0.0000 -0.8473 6.9519
Cd 0.0000 1.4664 6.3498
Cd 0.0000 5.3103 2.1425
Cd 0.0000 0.0000 0.0000
Cd 1.6261 2.6687 1.1064
Cd 1.6261 -1.1603 5.3459
Cd 1.6261 3.4382 4.3266
Cd 1.6261 -0.4057 8.5340
Cd 0.0000 2.2359 9.5700
Mn 0.0000 0.7596 3.1928
Mn 1.6261 4.1450 7.4837
```

Properties
- magnetization (μB per cell) = 9.764
- crystal system = monoclinic

Order of stability, best first: *a*, *b*

*a*
Compound: Mn2CdP
Source: the Alexandria database
Functional: SCAN
Structure: PBEsol geometry Values from VASP.

Quantum ESPRESSO input file:
```
&SYSTEM
  ibrav = 0, nat = 4, ntyp = 3
/
ATOMIC_SPECIES
Mn 54.94 Mn.upf
Cd 112.41 Cd.upf
P 30.97 P.upf
CELL_PARAMETERS angstrom
2.7898 0.0000 0.0000
0.0000 2.7898 0.0000
0.0000 0.0000 6.6103
ATOMIC_POSITIONS angstrom
Mn 0.0000 0.0000 5.3808
Mn 0.0000 0.0000 1.2295
Cd 1.3949 1.3949 3.3052
P 1.3949 1.3949 0.0000
```

Properties
- magnetization (μB per cell) = 3.979
- crystal system = tetragonal

*b*
Compound: Mn2CdP
Source: the Alexandria database
Functional: SCAN
Structure: PBEsol geometry Values from VASP.

Quantum ESPRESSO input file:
```
&SYSTEM
  ibrav = 0, nat = 4, ntyp = 3
/
ATOMIC_SPECIES
Cd 112.41 Cd.upf
Mn 54.94 Mn.upf
P 30.97 P.upf
CELL_PARAMETERS angstrom
-0.4410 -1.9163 -2.0132
1.2856 -2.1489 1.7638
-6.3829 0.6323 2.7634
ATOMIC_POSITIONS angstrom
Cd -3.0363 -1.9387 2.5106
Mn -5.3596 -3.3909 2.4349
Mn -2.1864 -1.4200 -0.1363
P -0.0721 -2.1487 0.0941
```

Properties
- magnetization (μB per cell) = 2.880
- crystal system = orthorhombic

Order of stability, best first: *b*, *a*

*a*
Compound: TaMnCd2
Source: the Alexandria database
Functional: SCAN
Structure: PBEsol geometry Values from VASP.

Quantum ESPRESSO input file:
```
&SYSTEM
  ibrav = 0, nat = 4, ntyp = 3
/
ATOMIC_SPECIES
Ta 180.95 Ta.upf
Mn 54.94 Mn.upf
Cd 112.41 Cd.upf
CELL_PARAMETERS angstrom
-3.2020 -0.2790 3.3115
0.9701 -2.1368 3.9736
0.4752 2.4504 3.8815
ATOMIC_POSITIONS angstrom
Ta -0.8784 0.0173 5.5833
Mn 0.0000 0.0000 0.0000
Cd -1.3175 0.0260 8.3749
Cd -0.4392 0.0087 2.7916
```

Properties
- magnetization (μB per cell) = 2.820
- crystal system = cubic

*b*
Compound: TaMnCd2
Source: the Alexandria database
Functional: SCAN
Structure: PBEsol geometry Values from VASP.

Quantum ESPRESSO input file:
```
&SYSTEM
  ibrav = 0, nat = 4, ntyp = 3
/
ATOMIC_SPECIES
Mn 54.94 Mn.upf
Ta 180.95 Ta.upf
Cd 112.41 Cd.upf
CELL_PARAMETERS angstrom
-2.0239 -1.8860 0.6192
1.4679 -0.1741 2.4190
-4.8917 6.3746 3.4272
ATOMIC_POSITIONS angstrom
Mn -2.3970 3.1236 1.6794
Ta -1.6195 0.7180 2.4589
Cd -0.0346 0.0450 0.0242
Cd -3.8426 3.6150 4.0165
```

Properties
- magnetization (μB per cell) = 3.581
- crystal system = orthorhombic

Order of stability, best first: *b*, *a*

*a*
Compound: Mn2CdTe
Source: the Alexandria database
Functional: SCAN
Structure: PBEsol geometry Values from VASP.

Quantum ESPRESSO input file:
```
&SYSTEM
  ibrav = 0, nat = 4, ntyp = 3
/
ATOMIC_SPECIES
Mn 54.94 Mn.upf
Cd 112.41 Cd.upf
Te 127.60 Te.upf
CELL_PARAMETERS angstrom
3.7832 0.0000 0.0000
0.0000 4.3110 0.0000
0.0000 0.0000 4.3110
ATOMIC_POSITIONS angstrom
Mn 0.0000 0.0000 2.1555
Mn 0.0000 2.1555 0.0000
Cd 1.8916 0.0000 0.0000
Te 1.8916 2.1555 2.1555
```

Properties
- magnetization (μB per cell) = 7.536
- crystal system = tetragonal

*b*
Compound: Mn2CdTe
Source: the Alexandria database
Functional: SCAN
Structure: PBEsol geometry Values from VASP.

Quantum ESPRESSO input file:
```
&SYSTEM
  ibrav = 0, nat = 4, ntyp = 3
/
ATOMIC_SPECIES
Mn 54.94 Mn.upf
Cd 112.41 Cd.upf
Te 127.60 Te.upf
CELL_PARAMETERS angstrom
-2.4538 -0.2920 -4.0876
0.4744 -3.8397 -2.8013
-3.5963 -3.1168 -0.4093
ATOMIC_POSITIONS angstrom
Mn -4.1817 -5.4363 -5.4736
Mn 0.0000 0.0000 0.0000
Cd -2.7878 -3.6242 -3.6491
Te -1.3939 -1.8121 -1.8245
```

Properties
- magnetization (μB per cell) = 7.912
- crystal system = cubic

Order of stability, best first: *a*, *b*

*a*
Compound: Mn2ZnCd
Source: the Alexandria database
Functional: SCAN
Structure: PBEsol geometry Values from VASP.

Quantum ESPRESSO input file:
```
&SYSTEM
  ibrav = 0, nat = 4, ntyp = 3
/
ATOMIC_SPECIES
Zn 65.41 Zn.upf
Mn 54.94 Mn.upf
Cd 112.41 Cd.upf
CELL_PARAMETERS angstrom
-0.9882 -0.8964 2.5224
-3.9615 -1.1194 -1.9499
4.0632 -3.1333 -1.1357
ATOMIC_POSITIONS angstrom
Zn 1.5567 -4.0587 -0.8325
Mn 0.0401 -0.1045 -0.0214
Mn 0.3057 -2.5336 0.8334
Cd -1.2007 -2.5935 -1.3921
```

Properties
- magnetization (μB per cell) = 7.136
- crystal system = orthorhombic

*b*
Compound: Mn2ZnCd
Source: the Alexandria database
Functional: SCAN
Structure: PBEsol geometry Values from VASP.

Quantum ESPRESSO input file:
```
&SYSTEM
  ibrav = 0, nat = 4, ntyp = 3
/
ATOMIC_SPECIES
Mn 54.94 Mn.upf
Cd 112.41 Cd.upf
Zn 65.41 Zn.upf
CELL_PARAMETERS angstrom
2.7790 0.0000 -0.0097
0.0000 4.0134 0.0000
-1.0855 0.0000 5.4267
ATOMIC_POSITIONS angstrom
Mn 2.6459 0.0000 0.0367
Mn 1.2717 2.0067 1.4394
Cd 0.1616 2.0067 4.1442
Zn -0.1495 0.0000 2.5003
```

Properties
- magnetization (μB per cell) = 7.427
- crystal system = monoclinic

Order of stability, best first: *b*, *a*

*a*
Compound: CdMo
Source: the Alexandria database
Functional: SCAN
Structure: PBEsol geometry Values from VASP.

Quantum ESPRESSO input file:
```
&SYSTEM
  ibrav = 0, nat = 2, ntyp = 2
/
ATOMIC_SPECIES
Cd 112.41 Cd.upf
Mo 95.94 Mo.upf
CELL_PARAMETERS angstrom
3.8086 0.0000 0.0000
1.9043 3.2984 0.0000
1.9043 1.0995 3.1097
ATOMIC_POSITIONS angstrom
Cd 0.0000 0.0000 0.0000
Mo 3.8086 2.1989 1.5549
```

Properties
- magnetization (μB per cell) = 0.000
- crystal system = cubic

*b*
Compound: CdMo
Source: the Alexandria database
Functional: SCAN
Structure: PBEsol geometry Values from VASP.

Quantum ESPRESSO input file:
```
&SYSTEM
  ibrav = 0, nat = 4, ntyp = 2
/
ATOMIC_SPECIES
Mo 95.94 Mo.upf
Cd 112.41 Cd.upf
CELL_PARAMETERS angstrom
-4.1375 0.2310 -1.9838
-3.7977 -0.4111 2.5528
-2.6914 3.6535 0.7187
ATOMIC_POSITIONS angstrom
Mo -7.9699 2.6051 0.9658
Mo -5.3133 1.7367 0.6439
Cd 0.0000 0.0000 0.0000
Cd -2.6566 0.8684 0.3219
```

Properties
- magnetization (μB per cell) = 0.000
- crystal system = cubic

*c*
Compound: CdMo
Source: the Alexandria database
Functional: SCAN
Structure: PBEsol geometry Values from VASP.

Quantum ESPRESSO input file:
```
&SYSTEM
  ibrav = 0, nat = 2, ntyp = 2
/
ATOMIC_SPECIES
Mo 95.94 Mo.upf
Cd 112.41 Cd.upf
CELL_PARAMETERS angstrom
2.7265 0.0301 0.0000
-0.4435 2.6903 0.0000
0.0000 0.0000 4.6113
ATOMIC_POSITIONS angstrom
Mo 1.1415 1.3602 2.3056
Cd 0.0000 0.0000 0.0000
```

Properties
- magnetization (μB per cell) = 0.000
- crystal system = orthorhombic

Order of stability, best first: *c*, *b*, *a*